Entry from the Alexandria database: a relaxed CaSiGeS crystal (PBE).

Cell and atoms, written as POSCAR:
```
CaSiGeS
1.0
3.818 0.000 0.000
0.000 3.759 0.000
0.000 0.000 6.474
Ge Ca S Si
1 1 1 1
Direct
0.500 0.500 0.064 Ge
0.000 0.000 0.643 Ca
0.500 0.500 0.688 S
0.000 0.000 0.161 Si
```

* symmetry: Pmm2, No. 25
* crystal system: orthorhombic
* uncorrected formation energy: -560 meV/atom
* ΔE to the lowest computed polymorph: 21.3 kJ per mole of atoms
* Fermi-level density of states: 2.4 states/eV/f.u.